ZrRePb4 | PBE | relaxed

* raw total energy: -28.721 eV for the cell shown
* mass density: 10954 kg/m³
* formation enthalpy at 0 K: 1185 meV per atom
* V: 167.7 Å³/cell

Unit cell a=6.190 b=6.190 c=6.190 alpha=60.00 beta=60.00 gamma=60.00
Fractional coordinates of all 6 atoms:
Zr: 0.000 0.000 0.000
Re: 0.250 0.250 0.250
Pb: 0.125 0.625 0.625
Pb: 0.625 0.125 0.625
Pb: 0.625 0.625 0.125
Pb: 0.625 0.625 0.625